<A>
The following is a PBE calculation of a relaxed structure of VSbP2Cl, from Alexandria via LeMat-Bulk.

For the density of states at the Fermi level, the calculation gives 4.4 states/eV/cell.

It has space group P4/mmm (No. 123), with a = 4.757 Å, b = 4.757 Å, c = 4.448 Å, α = 90.00°, β = 90.00° and γ = 90.00°. The distinct sites, in fractional coordinates, are V at (0.000, 0.000, 0.000), Sb at (0.500, 0.500, 0.500), P at (0.000, 0.500, 0.000) and Cl at (0.000, 0.000, 0.500).


<B>
The following is a PBE calculation of a relaxed structure of VSbP2Cl, from Alexandria via LeMat-Bulk.

For the density of states at the Fermi level, the calculation gives 9.5 states/eV/cell.

It has space group P4/mmm (No. 123), with a = 5.056 Å, b = 5.056 Å, c = 5.000 Å, α = 90.00°, β = 90.00° and γ = 90.00°. The distinct sites, in fractional coordinates, are V at (0.000, 0.000, 0.000), Sb at (0.500, 0.500, 0.500), P at (0.000, 0.500, 0.500) and Cl at (0.500, 0.500, 0.000).


Most stable: <A> (next structure +99.6 kJ/mol of atoms)


<A>
The following is a PBE calculation of a relaxed structure of ZrSbPCl2, from Alexandria via LeMat-Bulk.

For the density of states at the Fermi level, the calculation gives 2.7 states/eV/cell.

It has space group P4/mmm (No. 123), with a = 4.911 Å, b = 4.911 Å, c = 5.411 Å, α = 90.00°, β = 90.00° and γ = 90.00°. The distinct sites, in fractional coordinates, are Zr at (0.000, 0.000, 0.000), Sb at (0.500, 0.500, 0.500), P at (0.000, 0.000, 0.500) and Cl at (0.000, 0.500, 0.000).


<B>
The following is a PBE calculation of a relaxed structure of ZrSbPCl2, from Alexandria via LeMat-Bulk.

For the density of states at the Fermi level, the calculation gives 5.5 states/eV/cell.

It has space group P4/mmm (No. 123), with a = 5.113 Å, b = 5.113 Å, c = 5.308 Å, α = 90.00°, β = 90.00° and γ = 90.00°. The distinct sites, in fractional coordinates, are Zr at (0.000, 0.000, 0.000), Sb at (0.500, 0.500, 0.500), P at (0.500, 0.500, 0.000) and Cl at (0.000, 0.500, 0.500).


Most stable: <A> (next structure +81.8 kJ/mol of atoms)


<A>
The following is a PBE calculation of a relaxed structure of ScPCl2, from Alexandria via LeMat-Bulk.

For the density of states at the Fermi level, the calculation gives 2.9 states/eV/cell.

It has space group P4/mmm (No. 123), with a = 3.058 Å, b = 3.058 Å, c = 10.588 Å, α = 90.00°, β = 90.00° and γ = 90.00°. The distinct sites, in fractional coordinates, are Sc at (0.000, 0.000, 0.000), P at (0.000, 0.000, 0.500) and Cl at (0.500, 0.500, 0.146).


<B>
The following is a PBE calculation of a relaxed structure of ScPCl2, from Alexandria via LeMat-Bulk.

For the density of states at the Fermi level, the calculation gives 4.2 states/eV/cell.

It has space group Fmmm (No. 69), with a = 5.939 Å, b = 6.045 Å, c = 8.996 Å, α = 90.00°, β = 90.00° and γ = 90.00°. The distinct sites, in fractional coordinates, are Sc at (0.000, 0.000, 0.000), P at (0.000, 0.000, 0.500) and Cl at (0.250, 0.000, 0.250).


Most stable: <A> (next structure +2.6 kJ/mol of atoms)


<A>
The following is a PBE calculation of a relaxed structure of ScPCl2, from Alexandria via LeMat-Bulk.

For the density of states at the Fermi level, the calculation gives 8.9 states/eV/cell.

It has space group R-3m (No. 166, hexagonal axes), with a = 3.3446 Å, b = 3.3446 Å, c = 29.8952 Å, α = 90.00°, β = 90.00° and γ = 120.00°. The distinct sites, in fractional coordinates, are Sc at (0.0000, 0.0000, 0.0000), P at (0.0000, 0.0000, 0.5000) and Cl at (0.0000, 0.0000, 0.2788).


<B>
The following is a PBE calculation of a relaxed structure of ScPCl2, from Alexandria via LeMat-Bulk.

For the density of states at the Fermi level, the calculation gives 3.9 states/eV/cell.

It has space group Immm (No. 71), with a = 3.185 Å, b = 4.755 Å, c = 14.336 Å, α = 90.00°, β = 90.00° and γ = 90.00°. The distinct sites, in fractional coordinates, are Sc at (0.000, 0.000, 0.000), P at (0.000, 0.000, 0.500) and Cl at (0.000, 0.500, 0.361).


<C>
The following is a PBE calculation of a relaxed structure of ScPCl2, from Alexandria via LeMat-Bulk.

For the density of states at the Fermi level, the calculation gives 4.4 states/eV/cell.

It has space group Cmmm (No. 65), with a = 5.930 Å, b = 8.142 Å, c = 3.180 Å, α = 90.00°, β = 90.00° and γ = 90.00°. The distinct sites, in fractional coordinates, are Sc at (0.000, 0.000, 0.000), P at (0.000, 0.500, 0.000) and Cl at (0.250, 0.250, 0.500).


<D>
The following is a PBE calculation of a relaxed structure of ScPCl2, from Alexandria via LeMat-Bulk.

For the density of states at the Fermi level, the calculation gives 3.1 states/eV/cell.

It has space group I-4m2 (No. 119), with a = 3.952 Å, b = 3.952 Å, c = 9.553 Å, α = 90.00°, β = 90.00° and γ = 90.00°. The distinct sites, in fractional coordinates, are Sc at (0.000, 0.000, 0.000), P at (0.000, 0.500, 0.250), Cl at (0.000, 0.000, 0.500) and Cl at (0.000, 0.500, 0.750).


Most stable: <B> (next structure +19.7 kJ/mol of atoms)


<A>
The following is a PBE calculation of a relaxed structure of ScPSeCl2, from Alexandria via LeMat-Bulk.

For the density of states at the Fermi level, the calculation gives 4.1 states/eV/cell.

It has space group P4/mmm (No. 123), with a = 4.730 Å, b = 4.730 Å, c = 5.672 Å, α = 90.00°, β = 90.00° and γ = 90.00°. The distinct sites, in fractional coordinates, are Sc at (0.000, 0.000, 0.000), P at (0.000, 0.000, 0.500), Se at (0.500, 0.500, 0.500) and Cl at (0.000, 0.500, 0.000).


<B>
The following is a PBE calculation of a relaxed structure of ScPSeCl2, from Alexandria via LeMat-Bulk.

For the density of states at the Fermi level, the calculation gives 5.2 states/eV/cell.

It has space group P4/mmm (No. 123), with a = 4.842 Å, b = 4.842 Å, c = 5.174 Å, α = 90.00°, β = 90.00° and γ = 90.00°. The distinct sites, in fractional coordinates, are Sc at (0.000, 0.000, 0.000), P at (0.500, 0.500, 0.000), Se at (0.500, 0.500, 0.500) and Cl at (0.000, 0.500, 0.500).


Most stable: <A> (next structure +68.8 kJ/mol of atoms)


<A>
The following is a PBE calculation of a relaxed structure of ScSiPCl2, from Alexandria via LeMat-Bulk.

For the density of states at the Fermi level, the calculation gives 1.0 states/eV/cell.

It has space group P4/mmm (No. 123), with a = 4.777 Å, b = 4.777 Å, c = 5.389 Å, α = 90.00°, β = 90.00° and γ = 90.00°. The distinct sites, in fractional coordinates, are Sc at (0.000, 0.000, 0.000), Si at (0.500, 0.500, 0.500), P at (0.000, 0.000, 0.500) and Cl at (0.000, 0.500, 0.000).


<B>
The following is a PBE calculation of a relaxed structure of ScSiPCl2, from Alexandria via LeMat-Bulk.

For the density of states at the Fermi level, the calculation gives 3.2 states/eV/cell.

It has space group P4/mmm (No. 123), with a = 4.638 Å, b = 4.638 Å, c = 4.889 Å, α = 90.00°, β = 90.00° and γ = 90.00°. The distinct sites, in fractional coordinates, are Sc at (0.000, 0.000, 0.000), Si at (0.500, 0.500, 0.500), P at (0.500, 0.500, 0.000) and Cl at (0.000, 0.500, 0.500).


Most stable: <A> (next structure +16.6 kJ/mol of atoms)